Compound: Rb2CrNiF6
Source: Alexandria via LeMat-Bulk
Functional: PBE+U
Structure: relaxed

Summary:
- Calculated total energy: -96.5 eV per cell
- Crystal system: tetragonal

```
data_Rb2CrNiF6
_symmetry_space_group_name_H-M 'I 4/m m m'
_symmetry_Int_Tables_number 139
_symmetry_space_group_name_Hall '-I 4 2'
_cell_length_a 5.8394
_cell_length_b 5.8394
_cell_length_c 8.8297
_cell_angle_alpha 90.00
_cell_angle_beta 90.00
_cell_angle_gamma 90.00
loop_
_atom_site_label
_atom_site_fract_x
_atom_site_fract_y
_atom_site_fract_z
_atom_site_occupancy
Rb1 0.0000 0.5000 0.2500 1
Cr1 0.0000 0.0000 0.0000 1
Ni1 0.0000 0.0000 0.5000 1
F1 0.0000 0.0000 0.2730 1
F2 0.2481 0.2481 0.0000 1
```